Entry 1:
Below is a relaxed TcAsP crystal, with properties calculated at the PBE level. Values from VASP.

```
&SYSTEM
  ibrav = 0, nat = 3, ntyp = 3
/
ATOMIC_SPECIES
Tc 98.00 Tc.upf
As 74.92 As.upf
P 30.97 P.upf
ATOMIC_POSITIONS angstrom
Tc 2.2984 -0.9877 1.4025
As -0.1670 -1.7481 2.6549
P 1.0610 -2.6547 0.2269
CELL_PARAMETERS angstrom
-0.0928 -3.4477 -2.2760
3.6192 1.5534 1.2505
-0.1670 -1.7481 2.6549
```

Summary:
Polymorph energy (0 for the lowest one), meV per atom: 293
Symmetry: P-6m2 (187)
Calculated density, g/cm3: 7.193

=====

Entry 2:
Below is a relaxed Tc2AsP crystal, with properties calculated at the PBE level. Values from VASP.

```
&SYSTEM
  ibrav = 0, nat = 4, ntyp = 3
/
ATOMIC_SPECIES
P 30.97 P.upf
Tc 98.00 Tc.upf
As 74.92 As.upf
ATOMIC_POSITIONS angstrom
P 4.3440 1.7842 1.7941
Tc 4.9837 3.3278 -0.1507
As 1.8183 0.0977 1.8705
Tc 2.5932 1.7316 -0.0784
CELL_PARAMETERS angstrom
-0.4853 0.8553 2.8369
1.5964 -2.3463 0.9805
5.0512 3.3729 -0.1528
```

Summary:
Polymorph energy (0 for the lowest one), meV per atom: 92
Symmetry: P4/mmm (123)
Calculated density, g/cm3: 9.152

=====

Entry 3:
Below is a relaxed TcAsP crystal, with properties calculated at the PBE level. Values from VASP.

```
&SYSTEM
  ibrav = 0, nat = 3, ntyp = 3
/
ATOMIC_SPECIES
As 74.92 As.upf
Tc 98.00 Tc.upf
P 30.97 P.upf
ATOMIC_POSITIONS angstrom
As 0.0000 0.0000 5.3430
Tc 0.0000 1.8218 3.5194
P 1.5777 0.9109 1.9450
CELL_PARAMETERS angstrom
3.1555 0.0000 0.0000
-1.5777 2.7327 0.0000
0.0000 0.0000 5.4037
```

Summary:
Polymorph energy (0 for the lowest one), meV per atom: 0
Symmetry: P3m1 (156)
Calculated density, g/cm3: 7.266

=====

Entry 4:
Below is a relaxed Tc4AsP crystal, with properties calculated at the PBE level. Values from VASP.

```
&SYSTEM
  ibrav = 0, nat = 6, ntyp = 3
/
ATOMIC_SPECIES
Tc 98.00 Tc.upf
P 30.97 P.upf
As 74.92 As.upf
ATOMIC_POSITIONS angstrom
Tc 4.5381 2.7202 4.5381
P 0.0000 0.0000 0.0000
Tc 2.7202 4.5381 4.5381
As 5.4437 5.4437 5.4437
Tc 4.5381 4.5381 2.7202
Tc 2.7202 2.7202 2.7202
CELL_PARAMETERS angstrom
0.0000 3.6291 3.6291
3.6291 0.0000 3.6291
3.6291 3.6291 0.0000
```

Summary:
Symmetry: F-43m (216)
Calculated density, g/cm3: 8.649
Final energy, eV/atom: -7.91

=====

Entry 5:
Below is a relaxed TcAsP crystal, with properties calculated at the PBE level. Values from VASP.

```
&SYSTEM
  ibrav = 0, nat = 6, ntyp = 3
/
ATOMIC_SPECIES
Tc 98.00 Tc.upf
P 30.97 P.upf
As 74.92 As.upf
ATOMIC_POSITIONS angstrom
Tc 1.0331 -5.1143 -3.7965
P -0.1996 -6.6554 -5.2214
As 0.5850 -4.0036 -1.5178
As -0.4525 -3.6724 -5.3142
P 0.3320 -1.0207 -1.6105
Tc -0.9006 -2.5617 -3.0354
CELL_PARAMETERS angstrom
-3.0576 -0.2679 -0.4430
1.0483 -2.0209 -5.8516
2.1417 -5.3872 -0.5374
```

Summary:
Polymorph energy (0 for the lowest one), meV per atom: 3
Symmetry: P-1 (2)
Calculated density, g/cm3: 6.991

=====

Entry 6:
Below is a relaxed TcAsP2 crystal, with properties calculated at the PBE level. Values from VASP.

```
&SYSTEM
  ibrav = 0, nat = 4, ntyp = 3
/
ATOMIC_SPECIES
P 30.97 P.upf
As 74.92 As.upf
Tc 98.00 Tc.upf
ATOMIC_POSITIONS angstrom
P -1.5158 2.5634 0.6077
P -0.1219 0.2062 0.0489
As -3.3086 3.2415 2.7112
Tc -1.6708 0.4718 2.0546
CELL_PARAMETERS angstrom
-2.4903 -1.6034 0.5520
0.7863 -0.2226 2.9007
-3.2754 5.5393 1.3131
```

Summary:
Symmetry: P4/mmm (123)
Calculated density, g/cm3: 6.540
Final energy, eV/atom: -6.43

=====

Entry 7:
Below is a relaxed Tc2AsP crystal, with properties calculated at the PBE level. Values from VASP.

```
&SYSTEM
  ibrav = 0, nat = 4, ntyp = 3
/
ATOMIC_SPECIES
Tc 98.00 Tc.upf
P 30.97 P.upf
As 74.92 As.upf
ATOMIC_POSITIONS angstrom
Tc 4.5223 4.5223 4.5223
P 0.0000 0.0000 0.0000
Tc 1.5074 1.5074 1.5074
As 3.0148 3.0148 3.0148
CELL_PARAMETERS angstrom
0.0000 3.0148 3.0148
3.0148 0.0000 3.0148
3.0148 3.0148 0.0000
```

Summary:
Polymorph energy (0 for the lowest one), meV per atom: 92
Symmetry: Fm-3m (225)
Calculated density, g/cm3: 9.147

=====

Entry 8:
Below is a relaxed TcAsP2 crystal, with properties calculated at the PBE level. Values from VASP.

```
&SYSTEM
  ibrav = 0, nat = 4, ntyp = 3
/
ATOMIC_SPECIES
P 30.97 P.upf
As 74.92 As.upf
Tc 98.00 Tc.upf
ATOMIC_POSITIONS angstrom
P 0.0000 0.0000 0.0000
As 1.9804 -1.0187 2.6331
Tc -1.6314 -1.3311 2.7313
P 0.2234 -2.1805 1.2786
CELL_PARAMETERS angstrom
-3.3884 -2.4929 1.3768
3.8351 -1.8681 1.1804
0.1257 -0.1692 4.0858
```

Summary:
Symmetry: C2/m (12)
Calculated density, g/cm3: 6.161
Final energy, eV/atom: -6.19

=====

- What is the calculated density in the fifth record?
  6.991 g/cm3

=====

- Which value of calculated density does entry 6 give?
  6.540 g/cm3